Cd5Pt PBE relaxed; DOS(E_F) = 2.15 states/eV per cell; crystal system = tetragonal; density = 10043 kg/m3; size of the total moment = 0.0 μB per cell; formation energy from the elements = -0.0815 eV per atom; energy = -1.851 eV per atom
1.0
3.081 0.000 0.000
0.000 3.081 0.000
0.000 0.000 13.186
Cd Pt
5 1
Cartesian
0.000 0.000 8.461
1.541 1.541 10.833
0.000 0.000 0.000
1.541 1.541 2.353
0.000 0.000 4.725
1.541 1.541 6.593

SrTh2Bi3 PBE relaxed; DOS(E_F) = 5.79 states/eV per cell; crystal system = monoclinic; density = 9111 kg/m3; size of the total moment = 0.0 μB per cell; formation energy from the elements = -0.7055 eV per atom; energy = -5.400 eV per atom
1.0
6.576 0.000 0.000
-3.288 7.021 -2.316
0.000 -0.015 9.311
Sr Th Bi
2 4 6
Cartesian
0.004 -0.004 2.328
6.572 -0.011 6.983
0.001 4.709 2.336
-0.001 4.702 6.991
3.289 2.305 0.004
3.287 2.297 4.659
3.284 -0.011 6.983
3.293 -0.004 2.328
3.287 4.571 6.991
-0.001 2.428 4.659
3.289 4.578 2.335
0.001 2.436 0.004

Pr2AlAg3 PBE relaxed; DOS(E_F) = 5.29 states/eV per cell; crystal system = orthorhombic; density = 6921 kg/m3; size of the total moment = 0.0 μB per cell; formation energy from the elements = -0.2375 eV per atom; energy = -3.880 eV per atom; energy relative to the lowest polymorph listed for this composition = 57.0 meV/atom
1.0
3.930 0.000 -1.046
-0.317 4.194 -1.192
0.300 0.311 9.031
Pr Al Ag
2 1 3
Cartesian
0.517 0.591 1.941
3.546 1.808 5.419
1.780 4.314 6.688
2.645 3.056 2.032
1.963 2.276 -0.531
1.127 3.567 4.233

KRb2Pa2Te5 PBE relaxed; raw formation energy = -0.885 eV/atom; DOS(E_F) = 23.12 states/eV per cell; crystal system = tetragonal; density = 5564 kg/m3; size of the total moment = 5.0 μB per cell; energy = -4.659 eV per atom
1.0
-2.514 -2.714 -1.667
10.593 -8.830 -1.596
-2.559 -5.340 12.556
K Rb Pa Te
2 4 4 10
Cartesian
0.000 0.000 0.000
4.017 -7.085 5.480
6.755 -6.988 1.192
1.279 -7.182 9.768
1.109 -3.304 3.708
6.925 -10.866 7.252
-0.322 -4.359 7.584
8.356 -9.812 3.376
4.305 -10.171 10.072
3.729 -3.999 0.888
0.884 -3.677 -0.284
4.636 -13.207 9.577
-2.495 -6.158 8.854
5.268 -9.997 3.397
8.016 -10.726 0.440
0.252 -6.888 5.897
2.958 -10.247 7.287
2.562 -6.638 2.006
4.040 -5.772 -1.632
-2.536 -4.027 5.445

AlCu2Ru PBE relaxed; DOS(E_F) = 3.12 states/eV per cell; crystal system = orthorhombic; density = 8067 kg/m3; size of the total moment = 0.0 μB per cell; formation energy from the elements = -0.0146 eV per atom; energy = -5.317 eV per atom
1.0
2.623 0.000 0.000
0.000 3.844 0.000
0.000 0.000 5.209
Ru Al Cu
1 1 2
Cartesian
1.311 1.922 1.302
1.311 1.922 3.907
0.000 0.000 5.191
0.000 0.000 2.623

V2AgSbS PBE relaxed; raw formation energy = 1.028 eV/atom; DOS(E_F) = 2.56 states/eV per cell; crystal system = tetragonal; density = 4513 kg/m3; size of the total moment = 6.0 μB per cell; energy = -4.839 eV per atom
1.0
-2.694 -3.277 -2.914
-2.682 -1.394 4.047
-3.430 3.706 -0.996
Sb S Ag V
1 1 1 2
Cartesian
0.000 0.000 0.000
-4.403 -0.483 0.068
-1.341 -0.697 2.023
-1.715 1.853 -0.498
-1.347 -1.639 -1.457

SnRhC2 PBE relaxed; DOS(E_F) = 4.48 states/eV per cell; crystal system = tetragonal; density = 7003 kg/m3; size of the total moment = 0.0 μB per cell; formation energy from the elements = 0.9949 eV per atom; energy = -6.456 eV per atom
1.0
4.957 0.000 0.000
0.000 4.957 0.000
2.479 2.479 4.740
C Rh Sn
4 2 2
Cartesian
3.528 1.239 1.185
1.429 3.718 1.185
3.718 3.908 3.555
6.197 6.007 3.555
2.479 2.479 0.000
2.479 4.957 2.370
0.000 0.000 0.000
4.957 2.479 2.370

Au3IO PBE relaxed; raw formation energy = 1.342 eV/atom; DOS(E_F) = 12.64 states/eV per cell; crystal system = cubic; density = 8061 kg/m3; size of the total moment = 0.0 μB per cell; energy = -1.926 eV per atom; energy relative to the lowest polymorph listed for this composition = 882.0 meV/atom
1.0
5.327 0.000 0.000
0.000 5.327 0.000
0.000 0.000 5.327
I Au O
1 3 1
Cartesian
0.000 0.000 0.000
0.000 2.664 0.000
0.000 0.000 2.664
2.664 0.000 0.000
2.664 2.664 2.664